VASP calculation (PBE+U) on an optimized crystal structure of Eu3V2O7.

abc: 3.953 3.953 19.720
angles: 90.00 90.00 90.00
Space group I4/mmm (No. 139)
Asymmetric unit:
Eu: 0.000 0.000 0.000 x2
Eu: 0.000 0.000 0.182 x4
V: 0.000 0.000 0.402 x4
O: 0.000 0.000 0.302 x4
O: 0.000 0.000 0.500 x2
O: 0.000 0.500 0.097 x8

DOS(E_F)	60.4	states/eV/cell
spin magnetization	46.00	μB/cell
final energy	-9.30	eV/atom
calculated volume	308.1	Å³ per cell